Below is a geometry-optimized SmCr2SbO8 structure, with properties calculated at the PBE+U level.

## Properties
Total energy: -170.162 eV for the cell shown
Magnetic moment: 3.98 μB per formula unit

a b c (Å): 6.8114 6.5786 6.4880
angles (deg): 90.00 90.98 90.00
Space group C2/m (No. 12)
Asymmetric unit:
Sm  0.0000  0.0000  0.0000
Cr  0.0042  0.5000  0.7454
Sb  0.0000  0.0000  0.5000
O  0.0038  0.2084  0.2776
O  0.1671  0.5000  0.9830
O  0.1929  0.5000  0.4957